# 1
! meta-GGA SCAN Sb2O3, single point on PBEsol structure; values from VASP
&SYSTEM
  ibrav = 0, nat = 20, ntyp = 2
/
ATOMIC_SPECIES
Sb 121.76 Sb.upf
O 16.00 O.upf
CELL_PARAMETERS angstrom
4.898 0.000 0.000
0.000 12.252 0.000
0.000 0.000 5.378
ATOMIC_POSITIONS crystal
Sb 0.036 0.127 0.179
Sb 0.036 0.373 0.679
Sb 0.464 0.127 0.679
Sb 0.464 0.373 0.179
Sb 0.536 0.627 0.821
Sb 0.536 0.873 0.321
Sb 0.964 0.627 0.321
Sb 0.964 0.873 0.821
O 0.144 0.056 0.848
O 0.144 0.444 0.348
O 0.250 0.250 0.002
O 0.250 0.250 0.502
O 0.356 0.056 0.348
O 0.356 0.444 0.848
O 0.644 0.556 0.152
O 0.644 0.944 0.652
O 0.750 0.750 0.498
O 0.750 0.750 0.998
O 0.856 0.556 0.652
O 0.856 0.944 0.152
! * formation energy without anion corrections: -1389 meV per atom
! * space group: Pccn, No. 56



# 2
! meta-GGA SCAN ScSbO2, single point on PBEsol structure; values from VASP
&SYSTEM
  ibrav = 0, nat = 4, ntyp = 3
/
ATOMIC_SPECIES
Sc 44.96 Sc.upf
Sb 121.76 Sb.upf
O 16.00 O.upf
CELL_PARAMETERS angstrom
0.000 2.948 2.948
2.948 0.000 2.948
2.948 2.948 0.000
ATOMIC_POSITIONS crystal
Sc 0.000 0.000 0.000
Sb 0.500 0.500 0.500
O 0.250 0.250 0.250
O 0.750 0.750 0.750
! * formation energy without anion corrections: -1094 meV per atom
! * space group: Fm-3m, No. 225



# 3
! meta-GGA SCAN Sc2SbO, single point on PBEsol structure; values from VASP
&SYSTEM
  ibrav = 0, nat = 8, ntyp = 3
/
ATOMIC_SPECIES
Sc 44.96 Sc.upf
Sb 121.76 Sb.upf
O 16.00 O.upf
CELL_PARAMETERS angstrom
-3.256 3.256 3.531
3.256 -3.256 3.531
3.256 3.256 -3.531
ATOMIC_POSITIONS crystal
Sc 0.012 0.125 0.387
Sc 0.375 0.988 0.113
Sc 0.738 0.625 0.613
Sc 0.875 0.262 0.887
Sb 0.250 0.750 0.500
Sb 0.500 0.500 0.000
O 0.000 0.000 0.000
O 0.750 0.250 0.500
! * formation energy without anion corrections: -1996 meV per atom
! * space group: I-42d, No. 122



Copy entry 2 word for word.
! meta-GGA SCAN ScSbO2, single point on PBEsol structure; values from VASP
&SYSTEM
  ibrav = 0, nat = 4, ntyp = 3
/
ATOMIC_SPECIES
Sc 44.96 Sc.upf
Sb 121.76 Sb.upf
O 16.00 O.upf
CELL_PARAMETERS angstrom
0.000 2.948 2.948
2.948 0.000 2.948
2.948 2.948 0.000
ATOMIC_POSITIONS crystal
Sc 0.000 0.000 0.000
Sb 0.500 0.500 0.500
O 0.250 0.250 0.250
O 0.750 0.750 0.750
! * formation energy without anion corrections: -1094 meV per atom
! * space group: Fm-3m, No. 225



> Among the records above, which one has the highest formation energy without anion corrections?

ScSbO2



> Which formula does entry 1 have?

Sb2O3



Copy entry 2 word for word.
! meta-GGA SCAN ScSbO2, single point on PBEsol structure; values from VASP
&SYSTEM
  ibrav = 0, nat = 4, ntyp = 3
/
ATOMIC_SPECIES
Sc 44.96 Sc.upf
Sb 121.76 Sb.upf
O 16.00 O.upf
CELL_PARAMETERS angstrom
0.000 2.948 2.948
2.948 0.000 2.948
2.948 2.948 0.000
ATOMIC_POSITIONS crystal
Sc 0.000 0.000 0.000
Sb 0.500 0.500 0.500
O 0.250 0.250 0.250
O 0.750 0.750 0.750
! * formation energy without anion corrections: -1094 meV per atom
! * space group: Fm-3m, No. 225